Entry 1:
A relaxed ZnTe2WI crystal. Source: Alexandria, functional PBE-GGA.

The structure in extended XYZ format:
```
5
Lattice="5.2800 0.0000 0.0000 0.0000 5.3246 0.0000 0.0000 0.0000 5.2800" Properties=species:S:1:pos:R:3 pbc="T T T"
Te 2.6400 0.0000 0.0000
I 0.0000 2.6623 0.0000
Te 0.0000 0.0000 2.6400
Zn 0.0000 0.0000 0.0000
W 2.6400 2.6623 2.6400
```

Properties
- formation energy from raw total energies (eV/atom) = 1.33
- space group = P4/mmm, No. 123
- crystal system = tetragonal
- final energy (eV per atom) = -3.08
- calculated volume (Å³ per atom) = 29.69
- D(E_F) (states/eV per atom) = 0.8421

---

Entry 2:
A relaxed ZnTe2WI crystal. Source: Alexandria, functional PBE-GGA.

The structure in extended XYZ format:
```
5
Lattice="5.2716 0.0000 0.0000 0.0000 5.2716 0.0000 0.0000 0.0000 5.8230" Properties=species:S:1:pos:R:3 pbc="T T T"
Te 0.0000 2.6358 0.0000
W 0.0000 0.0000 0.0000
Zn 2.6358 2.6358 2.9115
Te 2.6358 0.0000 0.0000
I 0.0000 0.0000 2.9115
```

Properties
- formation energy from raw total energies (eV/atom) = 0.58
- space group = P4/mmm, No. 123
- crystal system = tetragonal
- final energy (eV per atom) = -3.83
- calculated volume (Å³ per atom) = 32.36
- D(E_F) (states/eV per atom) = 0.7655

---

Entry 3:
A relaxed ZnTeWI2 crystal. Source: Alexandria, functional PBE-GGA.

The structure in extended XYZ format:
```
5
Lattice="-3.3840 3.7016 1.8722 -0.3238 -2.6445 4.6433 4.2738 2.9163 1.9590" Properties=species:S:1:pos:R:3 pbc="T T T"
Zn 0.0000 0.0000 0.0000
Te 2.1369 1.4582 0.9795
I -0.1619 -1.3223 2.3217
I -1.6920 1.8508 0.9361
W 0.2830 1.9867 4.2373
```

Properties
- formation energy from raw total energies (eV/atom) = 1.27
- space group = P4/mmm, No. 123
- crystal system = tetragonal
- final energy (eV per atom) = -2.82
- calculated volume (Å³ per atom) = 31.71
- D(E_F) (states/eV per atom) = 1.0930

---

Entry 4:
A relaxed ZrTe2WI crystal. Source: Alexandria, functional PBE-GGA.

The structure in extended XYZ format:
```
5
Lattice="5.3207 0.0000 0.0000 0.0000 5.3207 0.0000 0.0000 0.0000 5.4142" Properties=species:S:1:pos:R:3 pbc="T T T"
Zr 2.6603 2.6603 2.7071
I 0.0000 0.0000 2.7071
Te 0.0000 2.6603 0.0000
W 0.0000 0.0000 0.0000
Te 2.6603 0.0000 0.0000
```

Properties
- formation energy from raw total energies (eV/atom) = 0.90
- space group = P4/mmm, No. 123
- crystal system = tetragonal
- final energy (eV per atom) = -4.96
- calculated volume (Å³ per atom) = 30.65
- D(E_F) (states/eV per atom) = 1.1318

---

Entry 5:
A relaxed ZrTeWI2 crystal. Source: Alexandria, functional PBE-GGA.

The structure in extended XYZ format:
```
5
Lattice="5.6881 0.0000 0.0000 0.0000 5.6881 0.0000 0.0000 0.0000 5.6780" Properties=species:S:1:pos:R:3 pbc="T T T"
W 2.8441 2.8441 2.8390
Zr 0.0000 0.0000 0.0000
Te 0.0000 0.0000 2.8390
I 0.0000 2.8441 0.0000
I 2.8441 0.0000 0.0000
```

Properties
- formation energy from raw total energies (eV/atom) = 0.98
- space group = P4/mmm, No. 123
- crystal system = tetragonal
- final energy (eV per atom) = -4.57
- calculated volume (Å³ per atom) = 36.74
- D(E_F) (states/eV per atom) = 0.9704

---

Entry 6:
A relaxed Y2TeI crystal. Source: Alexandria, functional PBE-GGA.

The structure in extended XYZ format:
```
8
Lattice="-2.7732 3.4994 5.2650 -3.7157 -5.5537 1.7341 1.8382 -3.1510 7.5884" Properties=species:S:1:pos:R:3 pbc="T T T"
Te -2.5610 -4.8659 6.4110
Y -1.7081 0.6673 5.3475
Y -2.2395 -3.7835 3.6960
Y -1.0949 -3.1938 8.3347
I -2.0897 -0.3394 8.1765
Te -3.2445 -1.0271 3.4996
Y -4.2589 -4.1006 11.7967
I 0.0000 0.0000 0.0000
```

Properties
- formation energy from raw total energies (eV/atom) = -0.52
- space group = I-42d, No. 122
- crystal system = tetragonal
- final energy (eV per atom) = -4.93
- calculated volume (Å³ per atom) = 40.87
- D(E_F) (states/eV per atom) = 0.8610

---

Entry 7:
A relaxed Y3TeI crystal. Source: Alexandria, functional PBE-GGA.

The structure in extended XYZ format:
```
5
Lattice="5.7375 0.0000 0.0000 0.0000 5.7375 0.0000 0.0000 0.0000 5.7375" Properties=species:S:1:pos:R:3 pbc="T T T"
I 2.8688 2.8688 2.8688
Y 0.0000 2.8688 0.0000
Te 0.0000 0.0000 0.0000
Y 0.0000 0.0000 2.8688
Y 2.8688 0.0000 0.0000
```

Properties
- formation energy from raw total energies (eV/atom) = -0.03
- space group = Pm-3m, No. 221
- crystal system = cubic
- final energy (eV per atom) = -4.85
- calculated volume (Å³ per atom) = 37.77
- D(E_F) (states/eV per atom) = 1.4836

---

Entry 8:
A relaxed YTeI crystal. Source: Alexandria, functional PBE-GGA.

The structure in extended XYZ format:
```
12
Lattice="-6.4822 -5.2273 -0.5052 1.3861 1.2030 8.6048 -7.2232 2.8556 3.0445" Properties=species:S:1:pos:R:3 pbc="T T T"
Y -6.1704 -2.8268 4.3378
I -1.4174 -1.0548 1.3357
Y -10.5336 -0.1845 2.9375
Te -8.3841 -2.2366 2.4663
Te -7.4812 -1.5988 6.7298
Y -6.0946 1.0652 6.5459
Y -2.1019 2.4643 9.7210
I -0.6790 -0.4455 5.6297
Te -11.6321 -1.3965 5.4025
I -4.7360 -0.1005 3.9974
Te -3.8764 0.4272 8.3964
I -10.8503 -0.6770 9.5610
```

Properties
- formation energy from raw total energies (eV/atom) = -1.29
- space group = Fdd2, No. 43
- crystal system = orthorhombic
- final energy (eV per atom) = -5.00
- calculated volume (Å³ per atom) = 39.68

---

Entry 9:
A relaxed YTeI crystal. Source: Alexandria, functional PBE-GGA.

The structure in extended XYZ format:
```
3
Lattice="4.3788 0.0000 0.0000 -2.1894 3.7921 0.0000 0.0000 0.0000 7.4362" Properties=species:S:1:pos:R:3 pbc="T T T"
I 0.0000 2.5281 4.3273
Y 2.1894 1.2640 2.3577
Te 0.0000 0.0000 0.7512
```

Properties
- formation energy from raw total energies (eV/atom) = -1.38
- space group = P3m1, No. 156
- crystal system = trigonal
- final energy (eV per atom) = -5.10
- calculated volume (Å³ per atom) = 41.16
- D(E_F) (states/eV per atom) = 0.0000

---

Entry 10:
A relaxed YTeI2 crystal. Source: Alexandria, functional PBE-GGA.

The structure in extended XYZ format:
```
8
Lattice="10.9984 0.0000 0.0000 0.0000 10.9984 0.0000 5.4992 5.4992 2.9900" Properties=species:S:1:pos:R:3 pbc="T T T"
I 4.3288 8.2488 0.7475
Y 5.4992 5.4992 0.0000
Te 0.0000 0.0000 0.0000
I 6.6696 2.7496 0.7475
I 8.2488 9.8279 2.2425
I 13.7480 12.1688 2.2425
Y 5.4992 10.9984 1.4950
Te 10.9984 5.4992 1.4950
```

Properties
- formation energy from raw total energies (eV/atom) = -0.85
- space group = I-42d, No. 122
- crystal system = tetragonal
- final energy (eV per atom) = -4.03
- calculated volume (Å³ per atom) = 45.21
- D(E_F) (states/eV per atom) = 0.3585

---

Entry 11:
A relaxed YTeI2 crystal. Source: Alexandria, functional PBE-GGA.

The structure in extended XYZ format:
```
4
Lattice="-0.6283 -5.5367 -0.2984 -4.4251 -2.1688 -2.6180 0.6552 -2.6233 -4.8814" Properties=species:S:1:pos:R:3 pbc="T T T"
I -3.2986 -7.7465 -5.8484
Te -2.1991 -5.1644 -3.8989
Y 0.0000 0.0000 0.0000
I -1.0995 -2.5822 -1.9495
```

Properties
- formation energy from raw total energies (eV/atom) = -0.46
- space group = Fm-3m, No. 225
- crystal system = cubic
- final energy (eV per atom) = -3.63
- calculated volume (Å³ per atom) = 30.72
- D(E_F) (states/eV per atom) = 1.5743

---

Entry 12:
A relaxed YTeI3 crystal. Source: Alexandria, functional PBE-GGA.

The structure in extended XYZ format:
```
5
Lattice="-2.2599 -3.5432 -4.3222 5.4973 -2.2497 -1.0301 -1.0074 -4.3275 4.0744" Properties=species:S:1:pos:R:3 pbc="T T T"
Y 0.0000 0.0000 0.0000
I -0.5037 -2.1638 2.0372
Te 1.1150 -5.0602 -0.6390
I -1.1300 -1.7716 -2.1611
I 2.7487 -1.1248 -0.5151
```

Properties
- formation energy from raw total energies (eV/atom) = -0.57
- space group = Pm-3m, No. 221
- crystal system = cubic
- final energy (eV per atom) = -3.42
- calculated volume (Å³ per atom) = 43.82
- D(E_F) (states/eV per atom) = 0.7487

---

Which value of final energy does entry 8 give? -5.00 eV per atom

---

Number 11 is which compound? YTeI2

---

Number 8 is which compound? YTeI